ZnIn3Re | GGA-PBE | relaxed

Structure (CIF):
```
data_ZnIn3Re
_symmetry_space_group_name_H-M 'P 1'
_symmetry_Int_Tables_number 1
_symmetry_space_group_name_Hall 'P 1'
_cell_length_a 5.0768
_cell_length_b 5.0768
_cell_length_c 5.0768
_cell_angle_alpha 90.00
_cell_angle_beta 90.00
_cell_angle_gamma 90.00
loop_
_atom_site_label
_atom_site_type_symbol
_atom_site_fract_x
_atom_site_fract_y
_atom_site_fract_z
_atom_site_occupancy
In1 In 0.0000 0.0000 0.5000 1
In2 In 0.0000 0.5000 0.0000 1
In3 In 0.5000 0.0000 0.0000 1
Zn1 Zn 0.0000 0.0000 0.0000 1
Re1 Re 0.5000 0.5000 0.5000 1
```

- calculated formation energy (eV per atom) = 1.29
- total magnetic moment (μB per atom) = 0.70
- symmetry = Pm-3m



ZnInRe2 | GGA-PBE | relaxed

Structure (CIF):
```
data_ZnInRe2
_symmetry_space_group_name_H-M 'P 1'
_symmetry_Int_Tables_number 1
_symmetry_space_group_name_Hall 'P 1'
_cell_length_a 4.3626
_cell_length_b 3.8635
_cell_length_c 3.8635
_cell_angle_alpha 90.00
_cell_angle_beta 90.00
_cell_angle_gamma 90.00
loop_
_atom_site_label
_atom_site_type_symbol
_atom_site_fract_x
_atom_site_fract_y
_atom_site_fract_z
_atom_site_occupancy
Zn1 Zn 0.5000 0.5000 0.0000 1
Re1 Re 0.0000 0.5000 0.5000 1
Re2 Re 0.0000 0.0000 0.0000 1
In1 In 0.5000 0.0000 0.5000 1
```

- calculated formation energy (eV per atom) = 0.64
- total magnetic moment (μB per atom) = 0.00
- symmetry = P4/mmm



ZnInRe | GGA-PBE | relaxed

Structure (CIF):
```
data_ZnInRe
_symmetry_space_group_name_H-M 'P 1'
_symmetry_Int_Tables_number 1
_symmetry_space_group_name_Hall 'P 1'
_cell_length_a 7.2142
_cell_length_b 7.0347
_cell_length_c 2.8407
_cell_angle_alpha 82.07
_cell_angle_beta 74.97
_cell_angle_gamma 22.95
loop_
_atom_site_label
_atom_site_type_symbol
_atom_site_fract_x
_atom_site_fract_y
_atom_site_fract_z
_atom_site_occupancy
Re1 Re 0.3254 0.3254 0.6746 1
In1 In 0.9975 0.9975 0.0025 1
Zn1 Zn 0.6771 0.6771 0.3229 1
```

- calculated formation energy (eV per atom) = 0.57
- total magnetic moment (μB per atom) = 0.00
- symmetry = Fmm2